# VWCl (PBE-GGA, relaxed)
# Uncorrected energy = -92.30 eV/cell
# Uncorrected formation energy = 27.1 kJ/mol of atoms
# Crystal system = orthorhombic
data_VWCl
_chemical_formula_sum 'V4 W4 Cl4'
_space_group_name_H-M_alt 'A m m 2'
_space_group_IT_number 38
_cell_length_a 14.281
_cell_length_b 2.911
_cell_length_c 5.079
_cell_angle_alpha 90.00
_cell_angle_beta 90.00
_cell_angle_gamma 90.00
loop_
_space_group_symop_operation_xyz
'x,y,z'
'-x,-y,z'
'-x,y,z'
'x,-y,z'
'x,y+1/2,z+1/2'
'-x,-y+1/2,z+1/2'
'-x,y+1/2,z+1/2'
'x,-y+1/2,z+1/2'
loop_
_atom_site_label
_atom_site_fract_x
_atom_site_fract_y
_atom_site_fract_z
V1 0.000 0.000 0.000
V2 0.500 0.000 0.117
W1 0.142 0.000 0.329
Cl1 0.383 0.000 0.785

***

# V3WCl (PBE-GGA, relaxed)
# Uncorrected energy = -38.60 eV/cell
# Uncorrected formation energy = 68.6 kJ/mol of atoms
# Distance to the lowest polymorph of the same formula = 0 meV per atom
# Crystal system = cubic
data_V3WCl
_chemical_formula_sum 'V3 W1 Cl1'
_space_group_name_H-M_alt 'P m -3 m'
_space_group_IT_number 221
_space_group_name_Hall '-P 4 2 3'
_cell_length_a 4.214
_cell_length_b 4.214
_cell_length_c 4.214
_cell_angle_alpha 90.00
_cell_angle_beta 90.00
_cell_angle_gamma 90.00
loop_
_atom_site_label
_atom_site_fract_x
_atom_site_fract_y
_atom_site_fract_z
V1 0.000 0.000 0.500
W1 0.500 0.500 0.500
Cl1 0.000 0.000 0.000

***

# VWCl3 (PBE-GGA, relaxed)
# Uncorrected energy = -24.40 eV/cell
# Uncorrected formation energy = 61.9 kJ/mol of atoms
# Distance to the lowest polymorph of the same formula = 68 meV per atom
# Crystal system = cubic
data_VWCl3
_chemical_formula_sum 'V1 W1 Cl3'
_space_group_name_H-M_alt 'P m -3 m'
_space_group_IT_number 221
_space_group_name_Hall '-P 4 2 3'
_cell_length_a 4.811
_cell_length_b 4.811
_cell_length_c 4.811
_cell_angle_alpha 90.00
_cell_angle_beta 90.00
_cell_angle_gamma 90.00
loop_
_atom_site_label
_atom_site_fract_x
_atom_site_fract_y
_atom_site_fract_z
V1 0.000 0.000 0.000
W1 0.500 0.500 0.500
Cl1 0.000 0.500 0.500

***

# VWCl3 (PBE-GGA, relaxed)
# Uncorrected energy = -24.74 eV/cell
# Uncorrected formation energy = 55.3 kJ/mol of atoms
# Distance to the lowest polymorph of the same formula = 0 meV per atom
# Crystal system = cubic
data_VWCl3
_chemical_formula_sum 'V1 W1 Cl3'
_space_group_name_H-M_alt 'P m -3 m'
_space_group_IT_number 221
_space_group_name_Hall '-P 4 2 3'
_cell_length_a 4.870
_cell_length_b 4.870
_cell_length_c 4.870
_cell_angle_alpha 90.00
_cell_angle_beta 90.00
_cell_angle_gamma 90.00
loop_
_atom_site_label
_atom_site_fract_x
_atom_site_fract_y
_atom_site_fract_z
V1 0.000 0.000 0.000
W1 0.500 0.500 0.500
Cl1 0.000 0.000 0.500

***

# V3WCl (PBE-GGA, relaxed)
# Uncorrected energy = -34.60 eV/cell
# Uncorrected formation energy = 145.8 kJ/mol of atoms
# Distance to the lowest polymorph of the same formula = 800 meV per atom
# Crystal system = cubic
data_V3WCl
_chemical_formula_sum 'V3 W1 Cl1'
_space_group_name_H-M_alt 'P m -3 m'
_space_group_IT_number 221
_space_group_name_Hall '-P 4 2 3'
_cell_length_a 4.792
_cell_length_b 4.792
_cell_length_c 4.792
_cell_angle_alpha 90.00
_cell_angle_beta 90.00
_cell_angle_gamma 90.00
loop_
_atom_site_label
_atom_site_fract_x
_atom_site_fract_y
_atom_site_fract_z
V1 0.000 0.000 0.500
W1 0.000 0.000 0.000
Cl1 0.500 0.500 0.500

***

# YVCl3 (PBE-GGA, relaxed)
# Uncorrected energy = -24.93 eV/cell
# Uncorrected formation energy = -73.5 kJ/mol of atoms
# Distance to the lowest polymorph of the same formula = 0 meV per atom
# Crystal system = cubic
data_YVCl3
_chemical_formula_sum 'Y1 V1 Cl3'
_space_group_name_H-M_alt 'P m -3 m'
_space_group_IT_number 221
_space_group_name_Hall '-P 4 2 3'
_cell_length_a 5.306
_cell_length_b 5.306
_cell_length_c 5.306
_cell_angle_alpha 90.00
_cell_angle_beta 90.00
_cell_angle_gamma 90.00
loop_
_atom_site_label
_atom_site_fract_x
_atom_site_fract_y
_atom_site_fract_z
Y1 0.000 0.000 0.000
V1 0.500 0.500 0.500
Cl1 0.000 0.000 0.500

***

- Among the records above, which one has the highest uncorrected energy?
  number 3

***

- The lowest uncorrected formation energy belongs to which entry?
  YVCl3

***

Copy entry 5 word for word.
# V3WCl (PBE-GGA, relaxed)
# Uncorrected energy = -34.60 eV/cell
# Uncorrected formation energy = 145.8 kJ/mol of atoms
# Distance to the lowest polymorph of the same formula = 800 meV per atom
# Crystal system = cubic
data_V3WCl
_chemical_formula_sum 'V3 W1 Cl1'
_space_group_name_H-M_alt 'P m -3 m'
_space_group_IT_number 221
_space_group_name_Hall '-P 4 2 3'
_cell_length_a 4.792
_cell_length_b 4.792
_cell_length_c 4.792
_cell_angle_alpha 90.00
_cell_angle_beta 90.00
_cell_angle_gamma 90.00
loop_
_atom_site_label
_atom_site_fract_x
_atom_site_fract_y
_atom_site_fract_z
V1 0.000 0.000 0.500
W1 0.000 0.000 0.000
Cl1 0.500 0.500 0.500